Entry i
DFT (PBE-GGA) results for crystalline BaTmNO at its relaxed geometry.

Cell: 6.5784 8.5776 5.9992 Å, 90.00 90.00 90.00°
Last column: nearest neighbours and their distance in Å.
Space group Pca2_1 (No. 29)
One atom of each set of equivalent atoms:
Ba 0.0641 0.1335 0.0000 x4  3 N 2.69-2.76, 1 O 2.87
Tm 0.0841 0.6063 0.9815 x4  1 N 2.09, 3 O 2.18-2.19
N 0.0292 0.1707 0.5448 x4  1 Tm 2.09
O 0.1135 0.5734 0.6227 x4  3 Tm 2.18-2.19

Properties
Magnetic moment = 0.01 μB per cell

***

Entry ii
DFT (PBE-GGA) results for crystalline BaTmNO at its relaxed geometry.

Cell: 3.9208 7.0554 6.1282 Å, 90.00 90.00 90.00°
Last column: nearest neighbours and their distance in Å.
Space group Pmc2_1 (No. 26)
One atom of each set of equivalent atoms:
Ba 0.0000 0.1818 0.0000 x2  2 N 2.56, 2 O 2.72-2.73
Tm 0.5000 0.3445 0.5055 x2  2 N 2.15-2.16, 2 O 2.23
N 0.5000 0.3784 0.8547 x2  2 Tm 2.15-2.16
O 0.0000 0.2023 0.4439 x2  2 Tm 2.23

Properties
Magnetic moment = 0.00 μB per cell

***

Entry iii
DFT (PBE-GGA) results for crystalline BaTmNO at its relaxed geometry.

Cell: 4.6385 4.6385 7.8744 Å, 90.00 90.00 90.00°
Last column: nearest neighbours and their distance in Å.
Space group P4mm (No. 99)
One atom of each set of equivalent atoms:
Ba 0.0000 0.0000 0.0000 x1  4 O 2.51
Ba 0.5000 0.5000 0.2492 x1  4 O 2.53
Tm 0.0000 0.5000 0.6330 x2  4 N 2.32-2.33
N 0.0000 0.0000 0.6115 x1  4 Tm 2.33
N 0.5000 0.5000 0.6514 x1  4 Tm 2.32
O 0.0000 0.5000 0.1208 x2  4 Ba 2.51-2.53

Properties
Magnetic moment = 0.00 μB per cell

***

Entry iv
DFT (PBE-GGA) results for crystalline BaTmNO at its relaxed geometry.

Cell: 4.6808 4.6808 7.4702 Å, 90.00 90.00 90.00°
Last column: nearest neighbours and their distance in Å.
Space group P4/nmm (No. 129, origin choice 2)
One atom of each set of equivalent atoms:
Ba 0.2500 0.7500 0.0000 x2  4 N 2.64
Tm 0.2500 0.2500 0.4369 x2  1 N 2.05
N 0.2500 0.2500 0.1626 x2  1 Tm 2.05
O 0.2500 0.7500 0.5000 x2  4 Tm 2.39

Properties
Magnetic moment = 0.00 μB per cell

***

It is entry ii that is the most stable of them.

***

Entry i
DFT (PBE-GGA) results for crystalline Ba2ScTcN6 at its relaxed geometry.

Cell: 5.8964 5.8964 8.3431 Å, 90.00 90.00 90.00°
Last column: nearest neighbours and their distance in Å.
Space group I4/m (No. 87)
One atom of each set of equivalent atoms:
Ba 0.0000 0.5000 0.2500 x4  12 N 2.92-2.98
Sc 0.0000 0.0000 0.0000 x2  6 N 2.18-2.19
Tc 0.0000 0.0000 0.5000 x2  6 N 1.99
N 0.0000 0.0000 0.2619 x4  1 Tc 1.99, 1 Sc 2.19
N 0.2333 0.2430 0.5000 x8  1 Tc 1.99, 1 Sc 2.18

Properties
Magnetic moment = 8.04 μB per cell

***

Entry ii
DFT (PBE-GGA) results for crystalline Ba2ScTcN6 at its relaxed geometry.

Cell: 10.1752 5.8743 5.8746 Å, 90.00 125.27 90.00°
Last column: nearest neighbours and their distance in Å.
Space group C2/m (No. 12)
One atom of each set of equivalent atoms:
Ba 0.2500 0.0000 0.2500 x4  12 N 2.93-2.95
Sc 0.0000 0.0000 0.5000 x2  6 N 2.18
Tc 0.0000 0.5000 0.0000 x2  6 N 1.98
N 0.0006 0.2622 0.7629 x8  1 Tc 1.98, 1 Sc 2.18
N 0.2378 0.5000 0.2391 x4  1 Tc 1.98, 1 Sc 2.18

Properties
Magnetic moment = 1.84 μB per cell

***

It is entry i that is the most stable of them.

***

Entry i
DFT (PBE-GGA) results for crystalline BaNaNbNi at its relaxed geometry.

Cell: 7.3132 7.3132 7.3132 Å, 90.00 90.00 90.00°
Last column: nearest neighbours and their distance in Å.
Space group F-43m (No. 216)
One atom of each set of equivalent atoms:
Ba 0.0000 0.0000 0.0000 x4  4 Ni 3.17, 4 Na 3.17
Na 0.2500 0.2500 0.7500 x4  4 Ba 3.17, 4 Nb 3.17
Nb 0.0000 0.0000 0.5000 x4  4 Na 3.17, 4 Ni 3.17
Ni 0.2500 0.2500 0.2500 x4  4 Ba 3.17, 4 Nb 3.17

Properties
Magnetic moment = 13.94 μB per cell

***

Entry ii
DFT (PBE-GGA) results for crystalline BaNaNbNi at its relaxed geometry.

Cell: 7.0527 7.0527 7.0527 Å, 90.00 90.00 90.00°
Last column: nearest neighbours and their distance in Å.
Space group F-43m (No. 216)
One atom of each set of equivalent atoms:
Ba 0.0000 0.0000 0.0000 x4  4 Nb 3.05, 4 Na 3.05
Na 0.2500 0.2500 0.2500 x4  4 Ba 3.05, 4 Ni 3.05
Nb 0.2500 0.2500 0.7500 x4  4 Ba 3.05, 4 Ni 3.05
Ni 0.0000 0.0000 0.5000 x4  4 Nb 3.05, 4 Na 3.05

Properties
Magnetic moment = 0.03 μB per cell

***

Entry iii
DFT (PBE-GGA) results for crystalline BaNaNbNi at its relaxed geometry.

Cell: 7.4834 7.4834 7.4834 Å, 90.00 90.00 90.00°
Last column: nearest neighbours and their distance in Å.
Space group F-43m (No. 216)
One atom of each set of equivalent atoms:
Ba 0.0000 0.0000 0.0000 x4  4 Nb 3.24, 4 Ni 3.24
Na 0.0000 0.0000 0.5000 x4  4 Ni 3.24, 4 Nb 3.24
Nb 0.2500 0.2500 0.2500 x4  4 Ba 3.24, 4 Na 3.24
Ni 0.2500 0.2500 0.7500 x4  4 Ba 3.24, 4 Na 3.24

Properties
Magnetic moment = 16.37 μB per cell

***

It is entry i that is the most stable of them.

***

Entry i
DFT (PBE-GGA) results for crystalline BaNaNbPd at its relaxed geometry.

Cell: 7.5385 7.5385 7.5385 Å, 90.00 90.00 90.00°
Last column: nearest neighbours and their distance in Å.
Space group F-43m (No. 216)
One atom of each set of equivalent atoms:
Ba 0.0000 0.0000 0.0000 x4  4 Nb 3.26, 4 Pd 3.26
Na 0.0000 0.0000 0.5000 x4  4 Pd 3.26, 4 Nb 3.26
Nb 0.2500 0.2500 0.7500 x4  4 Ba 3.26, 4 Na 3.26
Pd 0.2500 0.2500 0.2500 x4  4 Ba 3.26, 4 Na 3.26

Properties
Magnetic moment = 16.63 μB per cell

***

Entry ii
DFT (PBE-GGA) results for crystalline BaNaNbPd at its relaxed geometry.

Cell: 7.1445 7.1445 7.1445 Å, 90.00 90.00 90.00°
Last column: nearest neighbours and their distance in Å.
Space group F-43m (No. 216)
One atom of each set of equivalent atoms:
Ba 0.0000 0.0000 0.0000 x4  4 Na 3.09, 4 Nb 3.09
Na 0.2500 0.2500 0.7500 x4  4 Ba 3.09, 4 Pd 3.09
Nb 0.2500 0.2500 0.2500 x4  4 Ba 3.09, 4 Pd 3.09
Pd 0.0000 0.0000 0.5000 x4  4 Nb 3.09, 4 Na 3.09

Properties
Magnetic moment = 0.08 μB per cell

***

Entry iii
DFT (PBE-GGA) results for crystalline BaNaNbPd at its relaxed geometry.

Cell: 7.4697 7.4697 7.4697 Å, 90.00 90.00 90.00°
Last column: nearest neighbours and their distance in Å.
Space group F-43m (No. 216)
One atom of each set of equivalent atoms:
Ba 0.0000 0.0000 0.0000 x4  4 Pd 3.23, 4 Na 3.23
Na 0.2500 0.2500 0.2500 x4  4 Ba 3.23, 4 Nb 3.23
Nb 0.0000 0.0000 0.5000 x4  4 Na 3.23, 4 Pd 3.23
Pd 0.2500 0.2500 0.7500 x4  4 Nb 3.23, 4 Ba 3.23

Properties
Magnetic moment = 15.11 μB per cell

***

It is entry iii that is the most stable of them.

***

Entry i
DFT (PBE-GGA) results for crystalline BaNaNiSb at its relaxed geometry.

Cell: 7.2917 7.2917 7.2917 Å, 90.00 90.00 90.00°
Last column: nearest neighbours and their distance in Å.
Space group F-43m (No. 216)
One atom of each set of equivalent atoms:
Ba 0.0000 0.0000 0.0000 x4  4 Ni 3.16, 4 Na 3.16
Na 0.2500 0.2500 0.7500 x4  4 Ba 3.16, 4 Sb 3.16
Ni 0.2500 0.2500 0.2500 x4  4 Ba 3.16, 4 Sb 3.16
Sb 0.0000 0.0000 0.5000 x4  4 Na 3.16, 4 Ni 3.16

Properties
Magnetic moment = 0.01 μB per cell

***

Entry ii
DFT (PBE-GGA) results for crystalline BaNaNiSb at its relaxed geometry.

Cell: 7.5273 7.5273 7.5273 Å, 90.00 90.00 90.00°
Last column: nearest neighbours and their distance in Å.
Space group F-43m (No. 216)
One atom of each set of equivalent atoms:
Ba 0.0000 0.0000 0.0000 x4  4 Sb 3.26, 4 Na 3.26
Na 0.2500 0.2500 0.2500 x4  4 Ba 3.26, 4 Ni 3.26
Ni 0.0000 0.0000 0.5000 x4  4 Na 3.26, 4 Sb 3.26
Sb 0.2500 0.2500 0.7500 x4  4 Ni 3.26, 4 Ba 3.26

Properties
Magnetic moment = 0.00 μB per cell

***

It is entry i that is the most stable of them.

***

Entry i
DFT (PBE-GGA) results for crystalline BaNaTaNi at its relaxed geometry.

Cell: 7.0144 7.0144 7.0144 Å, 90.00 90.00 90.00°
Last column: nearest neighbours and their distance in Å.
Space group F-43m (No. 216)
One atom of each set of equivalent atoms:
Ba 0.0000 0.0000 0.0000 x4  4 Ta 3.04, 4 Na 3.04
Na 0.2500 0.2500 0.2500 x4  4 Ba 3.04, 4 Ni 3.04
Ta 0.2500 0.2500 0.7500 x4  4 Ba 3.04, 4 Ni 3.04
Ni 0.0000 0.0000 0.5000 x4  4 Ta 3.04, 4 Na 3.04

Properties
Magnetic moment = 0.01 μB per cell

***

Entry ii
DFT (PBE-GGA) results for crystalline BaNaTaNi at its relaxed geometry.

Cell: 7.1892 7.1892 7.1892 Å, 90.00 90.00 90.00°
Last column: nearest neighbours and their distance in Å.
Space group F-43m (No. 216)
One atom of each set of equivalent atoms:
Ba 0.0000 0.0000 0.0000 x4  4 Ni 3.11, 4 Na 3.11
Na 0.2500 0.2500 0.7500 x4  4 Ba 3.11, 4 Ta 3.11
Ta 0.0000 0.0000 0.5000 x4  4 Na 3.11, 4 Ni 3.11
Ni 0.2500 0.2500 0.2500 x4  4 Ba 3.11, 4 Ta 3.11

Properties
Magnetic moment = 8.82 μB per cell

***

Entry iii
DFT (PBE-GGA) results for crystalline BaNaTaNi at its relaxed geometry.

Cell: 7.4083 7.4083 7.4083 Å, 90.00 90.00 90.00°
Last column: nearest neighbours and their distance in Å.
Space group F-43m (No. 216)
One atom of each set of equivalent atoms:
Ba 0.0000 0.0000 0.0000 x4  4 Ta 3.21, 4 Ni 3.21
Na 0.0000 0.0000 0.5000 x4  4 Ni 3.21, 4 Ta 3.21
Ta 0.2500 0.2500 0.2500 x4  4 Na 3.21, 4 Ba 3.21
Ni 0.2500 0.2500 0.7500 x4  4 Ba 3.21, 4 Na 3.21

Properties
Magnetic moment = 9.29 μB per cell

***

It is entry i that is the most stable of them.

***

Entry i
DFT (PBE-GGA) results for crystalline BaNaNp at its relaxed geometry.

Cell: 8.1061 8.1061 8.1061 Å, 90.00 90.00 90.00°
Last column: nearest neighbours and their distance in Å.
Space group F-43m (No. 216)
One atom of each set of equivalent atoms:
Ba 0.0000 0.0000 0.0000 x4  4 Na 3.51
Na 0.2500 0.2500 0.2500 x4  4 Ba 3.51, 4 Np 3.51
Np 0.0000 0.0000 0.5000 x4  4 Na 3.51

Properties
Magnetic moment = 24.10 μB per cell

***

Entry ii
DFT (PBE-GGA) results for crystalline BaNaNp at its relaxed geometry.

Cell: 7.9552 7.9552 7.9552 Å, 90.00 90.00 90.00°
Last column: nearest neighbours and their distance in Å.
Space group F-43m (No. 216)
One atom of each set of equivalent atoms:
Ba 0.0000 0.0000 0.0000 x4  4 Np 3.44, 4 Na 3.44
Na 0.2500 0.2500 0.7500 x4  4 Ba 3.44
Np 0.2500 0.2500 0.2500 x4  4 Ba 3.44

Properties
Magnetic moment = 23.46 μB per cell

***

It is entry i that is the most stable of them.

***

Entry i
DFT (PBE-GGA) results for crystalline BaNaOs at its relaxed geometry.

Cell: 7.1393 7.1393 7.1393 Å, 90.00 90.00 90.00°
Last column: nearest neighbours and their distance in Å.
Space group F-43m (No. 216)
One atom of each set of equivalent atoms:
Ba 0.0000 0.0000 0.0000 x4  4 Na 3.09, 4 Os 3.09
Na 0.2500 0.2500 0.7500 x4  4 Ba 3.09
Os 0.2500 0.2500 0.2500 x4  4 Ba 3.09

Properties
Magnetic moment = 4.00 μB per cell

***

Entry ii
DFT (PBE-GGA) results for crystalline BaNaOs at its relaxed geometry.

Cell: 7.1730 7.1730 7.1730 Å, 90.00 90.00 90.00°
Last column: nearest neighbours and their distance in Å.
Space group F-43m (No. 216)
One atom of each set of equivalent atoms:
Ba 0.0000 0.0000 0.0000 x4  4 Os 3.11
Na 0.0000 0.0000 0.5000 x4  4 Os 3.11
Os 0.2500 0.2500 0.2500 x4  4 Ba 3.11, 4 Na 3.11

Properties
Magnetic moment = 4.00 μB per cell

***

It is entry ii that is the most stable of them.